Record 1
Computed, not measured: an optimized crystal structure of LiGdThSc at the PBE level of DFT.

For the formation enthalpy at 0 K, the calculation gives 0.74 eV/f.u. As for the space group: F-43m.

Cell and atoms, written as POSCAR:
```
LiGdThSc
1.0
0.0000 3.7899 3.7899
3.7899 0.0000 3.7899
3.7899 3.7899 0.0000
Li Gd Th Sc
1 1 1 1
Cartesian
0.0000 0.0000 0.0000 Li
1.8949 1.8949 1.8949 Gd
5.6848 5.6848 5.6848 Th
3.7899 3.7899 3.7899 Sc
```

Record 2
Computed, not measured: an optimized crystal structure of LiGdYSc at the PBE level of DFT.

For the formation enthalpy at 0 K, the calculation gives 0.60 eV/f.u. As for the space group: F-43m.

Cell and atoms, written as POSCAR:
```
LiGdYSc
1.0
0.0000 3.7922 3.7922
3.7922 0.0000 3.7922
3.7922 3.7922 0.0000
Li Gd Y Sc
1 1 1 1
Cartesian
0.0000 0.0000 0.0000 Li
5.6882 5.6882 5.6882 Gd
1.8961 1.8961 1.8961 Y
3.7922 3.7922 3.7922 Sc
```

Record 3
Computed, not measured: an optimized crystal structure of LiGdScZn at the PBE level of DFT.

For the formation enthalpy at 0 K, the calculation gives -0.42 eV/f.u. As for the space group: F-43m.

Cell and atoms, written as POSCAR:
```
LiGdScZn
1.0
0.0000 3.5236 3.5236
3.5236 0.0000 3.5236
3.5236 3.5236 0.0000
Li Gd Sc Zn
1 1 1 1
Cartesian
0.0000 0.0000 0.0000 Li
5.2854 5.2854 5.2854 Gd
1.7618 1.7618 1.7618 Sc
3.5236 3.5236 3.5236 Zn
```

Record 4
Computed, not measured: an optimized crystal structure of Li5Gd3Se12 at the PBE level of DFT.

Its formation energy from raw total energies is -0.94 eV/atom. As for the space group: Ia-3d.

Cell and atoms, written as POSCAR:
```
Li5Gd3Se12
1.0
-8.2673 8.2673 8.2673
8.2673 -8.2673 8.2673
8.2673 8.2673 -8.2673
Li Gd Se
20 12 48
Cartesian
0.0000 0.0000 0.0000 Li
4.1337 4.1337 -4.1337 Li
4.1337 -4.1337 4.1337 Li
8.2673 0.0000 0.0000 Li
12.4010 2.0668 0.0000 Li
8.2673 -4.1337 6.2005 Li
6.2005 8.2673 -4.1337 Li
6.2005 0.0000 4.1337 Li
4.1337 6.2005 0.0000 Li
8.2673 4.1337 2.0668 Li
-4.1337 4.1337 4.1337 Li
0.0000 8.2673 0.0000 Li
0.0000 0.0000 8.2673 Li
4.1337 4.1337 4.1337 Li
0.0000 4.1337 6.2005 Li
4.1337 2.0668 8.2673 Li
2.0668 8.2673 4.1337 Li
2.0668 0.0000 12.4010 Li
0.0000 12.4010 2.0668 Li
-4.1337 6.2005 8.2673 Li
4.1337 2.0668 0.0000 Gd
8.2673 4.1337 -2.0668 Gd
2.0668 0.0000 4.1337 Gd
10.3342 0.0000 4.1337 Gd
0.0000 4.1337 2.0668 Gd
4.1337 -2.0668 8.2673 Gd
4.1337 10.3342 0.0000 Gd
8.2673 4.1337 6.2005 Gd
-2.0668 8.2673 4.1337 Gd
6.2005 8.2673 4.1337 Gd
0.0000 4.1337 10.3342 Gd
4.1337 6.2005 8.2673 Gd
2.9191 -0.3308 1.4078 Se
9.4819 5.5415 -4.4644 Se
7.9366 -1.4078 2.9191 Se
12.7317 -1.2146 2.7259 Se
11.1864 0.3308 1.4078 Se
9.4819 -2.7259 4.4644 Se
1.4078 2.9191 -0.3308 Se
10.9932 3.8029 -1.2146 Se
5.5415 4.4644 -1.2146 Se
6.8595 2.9191 0.3308 Se
7.9366 6.8595 -2.9191 Se
4.4644 1.2146 2.7259 Se
-0.3308 1.4078 2.9191 Se
4.4644 -1.2146 5.5415 Se
6.8595 -2.9191 7.9366 Se
5.5415 -4.4644 9.4819 Se
2.7259 4.4644 1.2146 Se
9.6751 5.3483 0.3308 Se
2.9191 7.9366 -1.4078 Se
9.4819 2.7259 3.8029 Se
4.4644 9.4819 -2.7259 Se
7.9366 1.4078 5.3483 Se
1.2146 2.7259 4.4644 Se
2.9191 0.3308 6.8595 Se
5.3483 7.9366 1.4078 Se
7.0527 5.5415 3.8029 Se
0.3308 6.8595 2.9191 Se
3.8029 -1.2146 10.9932 Se
-1.2146 5.5415 4.4644 Se
5.3483 0.3308 9.6751 Se
-1.4078 2.9191 7.9366 Se
5.5415 3.8029 7.0527 Se
2.7259 12.7317 -1.2146 Se
1.4078 11.1864 0.3308 Se
3.8029 9.4819 2.7259 Se
8.5981 6.8595 5.3483 Se
3.8029 7.0527 5.5415 Se
0.3308 1.4078 11.1864 Se
1.4078 5.3483 7.9366 Se
2.7259 3.8029 9.4819 Se
-2.7259 4.4644 9.4819 Se
6.8595 5.3483 8.5981 Se
-1.2146 10.9932 3.8029 Se
-2.9191 7.9366 6.8595 Se
-4.4644 9.4819 5.5415 Se
0.3308 9.6751 5.3483 Se
-1.2146 2.7259 12.7317 Se
5.3483 8.5981 6.8595 Se
```

Record 5
Computed, not measured: an optimized crystal structure of LiGdSe at the PBE level of DFT.

Its formation energy from raw total energies is -1.10 eV/atom. As for the space group: P-6m2.

Cell and atoms, written as POSCAR:
```
LiGdSe
1.0
4.1343 0.0000 0.0000
-2.0671 3.5804 0.0000
0.0000 0.0000 4.0192
Li Gd Se
1 1 1
Cartesian
0.0000 0.0000 0.0000 Li
0.0000 2.3869 2.0096 Gd
2.0671 1.1935 0.0000 Se
```

Record 6
Computed, not measured: an optimized crystal structure of LiGd2Se at the PBE level of DFT.

Its formation energy from raw total energies is -0.58 eV/atom. As for the space group: R-3m.

Cell and atoms, written as POSCAR:
```
LiGd2Se
1.0
1.8975 1.0955 10.2778
-1.8975 1.0955 10.2778
0.0000 -2.1910 10.2778
Li Gd Se
1 2 1
Cartesian
0.0000 0.0000 0.0000 Li
0.0000 0.0000 3.3495 Gd
0.0000 0.0000 27.4839 Gd
0.0000 0.0000 15.4167 Se
```

Record 7
Computed, not measured: an optimized crystal structure of Li2GdSi at the PBE level of DFT.

Its formation energy from raw total energies is -0.29 eV/atom. As for the space group: Fm-3m.

Cell and atoms, written as POSCAR:
```
Li2GdSi
1.0
0.0000 3.2244 3.2244
3.2244 0.0000 3.2244
3.2244 3.2244 0.0000
Li Gd Si
2 1 1
Cartesian
1.6122 1.6122 1.6122 Li
4.8365 4.8365 4.8365 Li
0.0000 0.0000 0.0000 Gd
3.2244 3.2244 3.2244 Si
```

Record 8
Computed, not measured: an optimized crystal structure of LiGdSi2 at the PBE level of DFT.

Its formation energy from raw total energies is -0.39 eV/atom. As for the space group: P4/mmm.

Cell and atoms, written as POSCAR:
```
LiGdSi2
1.0
4.1494 0.0000 0.0000
0.0000 4.1494 0.0000
0.0000 0.0000 4.1979
Li Gd Si
1 1 2
Cartesian
0.0000 0.0000 0.0000 Li
2.0747 2.0747 0.0000 Gd
0.0000 2.0747 2.0990 Si
2.0747 0.0000 2.0990 Si
```

Record 9
Computed, not measured: an optimized crystal structure of LiGdSi at the PBE level of DFT.

Its formation energy from raw total energies is -0.42 eV/atom. As for the space group: F-43m.

Cell and atoms, written as POSCAR:
```
LiGdSi
1.0
0.0000 3.3093 3.3093
3.3093 0.0000 3.3093
3.3093 3.3093 0.0000
Li Gd Si
1 1 1
Cartesian
0.0000 0.0000 0.0000 Li
3.3093 3.3093 3.3093 Gd
4.9639 4.9639 4.9639 Si
```

Record 10
Computed, not measured: an optimized crystal structure of LiGdSi at the PBE level of DFT.

Its formation energy from raw total energies is -0.46 eV/atom. As for the space group: P-6m2.

Cell and atoms, written as POSCAR:
```
LiGdSi
1.0
4.3974 0.0000 0.0000
-2.1987 3.8082 0.0000
0.0000 0.0000 3.6159
Li Gd Si
1 1 1
Cartesian
0.0000 0.0000 0.0000 Li
2.1987 1.2694 1.8079 Gd
0.0000 2.5388 0.0000 Si
```

Record 11
Computed, not measured: an optimized crystal structure of LiGdSi at the PBE level of DFT.

Its formation energy from raw total energies is -0.18 eV/atom. As for the space group: I4mm.

Cell and atoms, written as POSCAR:
```
LiGdSi
1.0
-1.9798 1.9798 4.1092
1.9798 -1.9798 4.1092
1.9798 1.9798 -4.1092
Li Gd Si
1 1 1
Cartesian
0.0000 0.0000 0.0000 Li
0.0000 0.0000 5.5289 Gd
0.0000 0.0000 2.5866 Si
```

Record 12
Computed, not measured: an optimized crystal structure of SrLiGdSi at the PBE level of DFT.

Its formation energy from raw total energies is -0.20 eV/atom. As for the space group: F-43m.

Cell and atoms, written as POSCAR:
```
SrLiGdSi
1.0
0.0000 3.7042 3.7042
3.7042 0.0000 3.7042
3.7042 3.7042 0.0000
Sr Li Gd Si
1 1 1 1
Cartesian
0.0000 0.0000 0.0000 Sr
5.5562 5.5562 5.5562 Li
3.7042 3.7042 3.7042 Gd
1.8521 1.8521 1.8521 Si
```

Number 1: calculated density 6729 kg/m3, total energy -7.2511 eV/atom. Number 2: calculated density 4538 kg/m3, total energy -7.0467 eV/atom. Number 3: calculated density 5211 kg/m3, total energy -6.0053 eV/atom. Number 4: calculated density 4273 kg/m3, total energy -5.6217 eV/atom. Number 5: calculated density 6787 kg/m3, total energy -7.5947 eV/atom. Number 6: calculated density 5187 kg/m3, total energy -8.9709 eV/atom. Number 7: calculated density 4934 kg/m3, total energy -6.1209 eV/atom. Number 8: calculated density 5063 kg/m3, total energy -7.0952 eV/atom. Number 9: calculated density 4405 kg/m3, total energy -7.5545 eV/atom. Number 10: calculated density 5273 kg/m3, total energy -7.6029 eV/atom. Number 11: calculated density 4956 kg/m3, total energy -7.3232 eV/atom. Number 12: calculated density 4572 kg/m3, total energy -5.9738 eV/atom.